Record 1
First-principles (PBE) data for PrYGeSe after structural relaxation, as listed in Alexandria via LeMat-Bulk.

CIF file:
```
data_PrYGeSe
_chemical_formula_sum 'Pr1 Y1 Ge1 Se1'
_symmetry_space_group_name_H-M 'P 1'
_symmetry_Int_Tables_number 1
_cell_length_a 4.2248
_cell_length_b 4.2248
_cell_length_c 7.3639
_cell_angle_alpha 73.33
_cell_angle_beta 73.33
_cell_angle_gamma 60.00
loop_
_symmetry_equiv_pos_as_xyz
'x,y,z'
loop_
_atom_site_label
_atom_site_type_symbol
_atom_site_fract_x
_atom_site_fract_y
_atom_site_fract_z
Pr1 Pr 0.4481 0.4481 0.6556
Se1 Se 0.6901 0.6901 0.9296
Ge1 Ge 0.1973 0.1973 0.4080
Y1 Y 0.9408 0.9408 0.1775
```

volume: 107.4 Å³ per cell
final energy: -6.23 eV per atom
density: 5.90 g/cm3
formation energy without anion corrections: -5.6 eV per formula unit

---

Record 2
First-principles (PBE) data for Pr2Si2Ge after structural relaxation, as listed in Alexandria via LeMat-Bulk.

CIF file:
```
data_Pr2Si2Ge
_chemical_formula_sum 'Pr4 Si4 Ge2'
_symmetry_space_group_name_H-M 'P 1'
_symmetry_Int_Tables_number 1
_cell_length_a 4.3447
_cell_length_b 5.9416
_cell_length_c 9.9628
_cell_angle_alpha 81.54
_cell_angle_beta 77.41
_cell_angle_gamma 68.55
loop_
_symmetry_equiv_pos_as_xyz
'x,y,z'
loop_
_atom_site_label
_atom_site_type_symbol
_atom_site_fract_x
_atom_site_fract_y
_atom_site_fract_z
Ge1 Ge 0.5634 0.1819 0.6912
Pr1 Pr 0.8966 0.3041 0.9026
Pr2 Pr 0.1034 0.6959 0.0974
Si1 Si 0.6147 0.8749 0.8958
Ge2 Ge 0.4366 0.8181 0.3088
Si2 Si 0.9741 0.6448 0.4070
Pr3 Pr 0.2952 0.7686 0.6410
Pr4 Pr 0.7048 0.2314 0.3590
Si3 Si 0.3853 0.1251 0.1042
Si4 Si 0.0259 0.3552 0.5930
```

volume: 233.0 Å³ per cell
final energy: -5.65 eV per atom
energy relative to the lowest polymorph listed for this composition: 0 meV/atom
density: 5.85 g/cm3
formation energy without anion corrections: -3.2 eV per formula unit

---

Record 3
First-principles (PBE) data for Pr3SiGe2 after structural relaxation, as listed in Alexandria via LeMat-Bulk.

CIF file:
```
data_Pr3SiGe2
_chemical_formula_sum 'Pr12 Si4 Ge8'
_symmetry_space_group_name_H-M 'P 1'
_symmetry_Int_Tables_number 1
_cell_length_a 4.2265
_cell_length_b 12.1681
_cell_length_c 12.0814
_cell_angle_alpha 90.00
_cell_angle_beta 90.00
_cell_angle_gamma 90.00
loop_
_symmetry_equiv_pos_as_xyz
'x,y,z'
loop_
_atom_site_label
_atom_site_type_symbol
_atom_site_fract_x
_atom_site_fract_y
_atom_site_fract_z
Pr1 Pr 0.7500 0.2927 0.7927
Pr2 Pr 0.7500 0.8779 0.4376
Ge1 Ge 0.2500 0.6914 0.4760
Pr3 Pr 0.2500 0.4443 0.3839
Ge2 Ge 0.2500 0.0109 0.3071
Pr4 Pr 0.2500 0.0557 0.8839
Pr5 Pr 0.2500 0.1221 0.5624
Pr6 Pr 0.7500 0.9443 0.1161
Ge3 Ge 0.7500 0.5109 0.1929
Pr7 Pr 0.7500 0.2073 0.2927
Si1 Si 0.7500 0.6293 0.3678
Pr8 Pr 0.2500 0.3779 0.0624
Pr9 Pr 0.7500 0.5557 0.6161
Ge4 Ge 0.7500 0.9891 0.6929
Ge5 Ge 0.2500 0.4891 0.8071
Pr10 Pr 0.2500 0.7927 0.7073
Ge6 Ge 0.7500 0.3086 0.5240
Ge7 Ge 0.2500 0.8086 0.9760
Si2 Si 0.7500 0.8707 0.8678
Pr11 Pr 0.7500 0.6221 0.9376
Ge8 Ge 0.7500 0.1914 0.0240
Si3 Si 0.2500 0.3707 0.6322
Si4 Si 0.2500 0.1293 0.1322
Pr12 Pr 0.2500 0.7073 0.2073
```

volume: 621.3 Å³ per cell
final energy: -5.56 eV per atom
density: 6.37 g/cm3
formation energy without anion corrections: -4.3 eV per formula unit

---

Record 4
First-principles (PBE) data for Pr6SiGe2 after structural relaxation, as listed in Alexandria via LeMat-Bulk.

CIF file:
```
data_Pr6SiGe2
_chemical_formula_sum 'Pr12 Si2 Ge4'
_symmetry_space_group_name_H-M 'P 1'
_symmetry_Int_Tables_number 1
_cell_length_a 7.1625
_cell_length_b 7.1625
_cell_length_c 12.6072
_cell_angle_alpha 90.00
_cell_angle_beta 90.00
_cell_angle_gamma 90.00
loop_
_symmetry_equiv_pos_as_xyz
'x,y,z'
loop_
_atom_site_label
_atom_site_type_symbol
_atom_site_fract_x
_atom_site_fract_y
_atom_site_fract_z
Pr1 Pr 0.2095 0.7905 0.5000
Pr2 Pr 0.2068 0.7932 0.8352
Pr3 Pr 0.2068 0.7932 0.1648
Ge1 Ge 0.0000 0.0000 0.3331
Ge2 Ge 0.5000 0.5000 0.8331
Pr4 Pr 0.2905 0.2905 0.0000
Pr5 Pr 0.2932 0.2932 0.3352
Pr6 Pr 0.7932 0.2068 0.1648
Ge3 Ge 0.5000 0.5000 0.1669
Pr7 Pr 0.7932 0.2068 0.8352
Si1 Si 0.0000 0.0000 0.0000
Pr8 Pr 0.2932 0.2932 0.6648
Pr9 Pr 0.7905 0.2095 0.5000
Pr10 Pr 0.7095 0.7095 0.0000
Si2 Si 0.5000 0.5000 0.5000
Pr11 Pr 0.7068 0.7068 0.6648
Ge4 Ge 0.0000 0.0000 0.6669
Pr12 Pr 0.7068 0.7068 0.3352
```

volume: 646.8 Å³ per cell
final energy: -5.13 eV per atom
density: 5.23 g/cm3
formation energy without anion corrections: -2.8 eV per formula unit

---

Record 5
First-principles (PBE) data for Pr8SiGe5 after structural relaxation, as listed in Alexandria via LeMat-Bulk.

CIF file:
```
data_Pr8SiGe5
_chemical_formula_sum 'Pr8 Si1 Ge5'
_symmetry_space_group_name_H-M 'P 1'
_symmetry_Int_Tables_number 1
_cell_length_a 8.0096
_cell_length_b 8.0096
_cell_length_c 8.0095
_cell_angle_alpha 109.45
_cell_angle_beta 109.52
_cell_angle_gamma 109.45
loop_
_symmetry_equiv_pos_as_xyz
'x,y,z'
loop_
_atom_site_label
_atom_site_type_symbol
_atom_site_fract_x
_atom_site_fract_y
_atom_site_fract_z
Pr1 Pr 0.7568 0.2504 0.3759
Pr2 Pr 0.1255 0.7496 0.5063
Pr3 Pr 0.1257 0.7493 0.0044
Pr4 Pr 0.6235 0.8787 0.8743
Pr5 Pr 0.9956 0.1213 0.7449
Si1 Si 0.2500 0.5000 0.7500
Ge1 Ge 0.7499 0.6248 0.6247
Pr6 Pr 0.6241 0.3808 0.8745
Pr7 Pr 0.4937 0.6192 0.2432
Ge2 Ge 0.5000 0.0000 0.5000
Ge3 Ge 0.8749 0.8748 0.2501
Ge4 Ge 0.9999 0.3752 0.1251
Pr8 Pr 0.2551 0.2507 0.3765
Ge5 Ge 0.3753 0.1252 0.0001
```

volume: 395.6 Å³ per cell
final energy: -5.54 eV per atom
density: 6.37 g/cm3
formation energy without anion corrections: -10.8 eV per formula unit

---

Record 6
First-principles (PBE) data for Pr4SiGe2 after structural relaxation, as listed in Alexandria via LeMat-Bulk.

CIF file:
```
data_Pr4SiGe2
_chemical_formula_sum 'Pr4 Si1 Ge2'
_symmetry_space_group_name_H-M 'P 1'
_symmetry_Int_Tables_number 1
_cell_length_a 4.8135
_cell_length_b 4.8135
_cell_length_c 10.6165
_cell_angle_alpha 76.90
_cell_angle_beta 76.90
_cell_angle_gamma 60.00
loop_
_symmetry_equiv_pos_as_xyz
'x,y,z'
loop_
_atom_site_label
_atom_site_type_symbol
_atom_site_fract_x
_atom_site_fract_y
_atom_site_fract_z
Pr1 Pr 0.7031 0.7031 0.8906
Ge1 Ge 0.4069 0.4069 0.7793
Pr2 Pr 0.2969 0.2969 0.1094
Ge2 Ge 0.5931 0.5931 0.2207
Si1 Si 0.5000 0.5000 0.5000
Pr3 Pr 0.1230 0.1230 0.6309
Pr4 Pr 0.8770 0.8770 0.3691
```

volume: 205.6 Å³ per cell
final energy: -5.41 eV per atom
density: 5.95 g/cm3
formation energy without anion corrections: -4.1 eV per formula unit